1.
DFT (PBE-GGA) results for a geometry-optimized Nd2TmMnN4 structure.

Computed properties:
VASP energy: -0.294 Ha/atom
energy relative to the elements, uncorrected: -0.93 eV per atom

a b c (Å): 6.1672 6.1672 12.0239
angles (deg): 90.00 90.00 147.99
With the nearest neighbours (Å) after each atom.
Atoms (fractional coordinates):
Nd (0.1326, 0.8674, 0.5422)  4 N 2.37-2.55
Nd (0.1326, 0.8674, 0.9578)  4 N 2.37-2.55
Nd (0.8674, 0.1326, 0.0422)  4 N 2.37-2.55
Nd (0.8674, 0.1326, 0.4578)  4 N 2.37-2.55
Tm (0.3670, 0.6330, 0.7500)  4 N 2.42
Tm (0.6330, 0.3670, 0.2500)  4 N 2.42
Mn (0.3451, 0.6549, 0.2500)  4 N 1.88-1.91
Mn (0.6549, 0.3451, 0.7500)  4 N 1.88-1.91
N (0.0877, 0.9123, 0.7500)  2 Mn 1.88
N (0.2274, 0.7726, 0.1418)  1 Mn 1.91
N (0.2274, 0.7726, 0.3582)  1 Mn 1.91
N (0.5000, 0.5000, 0.0000)  4 Nd 2.37
N (0.5000, 0.5000, 0.5000)  4 Nd 2.37
N (0.7726, 0.2274, 0.6418)  1 Mn 1.91
N (0.7726, 0.2274, 0.8582)  1 Mn 1.91
N (0.9123, 0.0877, 0.2500)  2 Mn 1.88

---

2.
DFT (PBE-GGA) results for a geometry-optimized NdU2MnN4 structure.

Computed properties:
VASP energy: -0.364 Ha/atom
energy relative to the elements, uncorrected: -1.18 eV per atom

a b c (Å): 6.0278 6.0278 11.2782
angles (deg): 90.00 90.00 147.46
With the nearest neighbours (Å) after each atom.
Atoms (fractional coordinates):
Nd (0.1014, 0.8986, 0.7500)  6 N 2.53-2.72
Nd (0.8986, 0.1014, 0.2500)  6 N 2.53-2.72
U (0.3679, 0.6321, 0.5569)  6 N 2.25-2.41
U (0.3679, 0.6321, 0.9431)  6 N 2.25-2.41
U (0.6321, 0.3679, 0.0569)  6 N 2.25-2.41
U (0.6321, 0.3679, 0.4431)  6 N 2.25-2.41
Mn (0.1609, 0.8391, 0.2500)  4 N 1.97-2.04
Mn (0.8391, 0.1609, 0.7500)  4 N 1.97-2.04
N (0.0000, 0.0000, 0.0000)  4 U 2.37
N (0.0000, 0.0000, 0.5000)  4 U 2.37
N (0.2692, 0.7308, 0.1155)  1 Mn 1.97
N (0.2692, 0.7308, 0.3845)  1 Mn 1.97
N (0.4386, 0.5614, 0.7500)  2 Mn 2.04
N (0.5614, 0.4386, 0.2500)  2 Mn 2.04
N (0.7308, 0.2692, 0.6155)  1 Mn 1.97
N (0.7308, 0.2692, 0.8845)  1 Mn 1.97

---

3.
DFT (PBE-GGA) results for a geometry-optimized NdMn2VN4 structure.

Computed properties:
VASP energy: -0.322 Ha/atom
energy relative to the elements, uncorrected: -0.57 eV per atom

a b c (Å): 6.0831 6.0831 9.9504
angles (deg): 90.00 90.00 149.13
With the nearest neighbours (Å) after each atom.
Atoms (fractional coordinates):
Nd (0.0695, 0.9305, 0.7500)  8 N 2.60-2.62
Nd (0.9305, 0.0695, 0.2500)  8 N 2.60-2.62
Mn (0.3931, 0.6069, 0.5375)  3 N 1.88-2.08
Mn (0.3931, 0.6069, 0.9625)  3 N 1.88-2.08
Mn (0.6069, 0.3931, 0.0375)  3 N 1.88-2.08
Mn (0.6069, 0.3931, 0.4625)  3 N 1.88-2.08
V (0.2002, 0.7998, 0.2500)  4 N 1.77-1.98
V (0.7998, 0.2002, 0.7500)  4 N 1.77-1.98
N (0.0000, 0.0000, 0.0000)  4 Mn 2.08
N (0.0000, 0.0000, 0.5000)  4 Mn 2.08
N (0.2980, 0.7020, 0.1149)  1 V 1.77, 1 Mn 1.88
N (0.2980, 0.7020, 0.3851)  1 V 1.77, 1 Mn 1.88
N (0.3963, 0.6037, 0.7500)  2 V 1.98, 2 Mn 2.11
N (0.6037, 0.3963, 0.2500)  2 V 1.98, 2 Mn 2.11
N (0.7020, 0.2980, 0.6149)  1 V 1.77, 1 Mn 1.88
N (0.7020, 0.2980, 0.8851)  1 V 1.77, 1 Mn 1.88

---

no.,total magnetic moment (μB per formula unit)
1,0.00
2,0.81
3,6.36